VASP calculation (PBE) on IrPd2S4 after structural relaxation. Values from VASP.

Quantum ESPRESSO input file:
```
&SYSTEM
  ibrav = 0, nat = 7, ntyp = 3
/
ATOMIC_SPECIES
S 32.06 S.upf
Ir 192.22 Ir.upf
Pd 106.42 Pd.upf
ATOMIC_POSITIONS angstrom
S -0.2108 -2.3772 4.3010
S -3.2650 -4.3643 4.7592
S -0.3697 -2.4051 0.0295
S -1.9245 0.3136 1.4559
Ir 0.0000 0.0000 0.0000
Pd -1.5232 -2.1972 2.5274
Pd -1.9526 -4.5443 6.5328
CELL_PARAMETERS angstrom
-3.8491 0.6273 2.9118
-0.7393 -4.8101 0.0589
1.1126 -2.5586 6.0895
```

Properties
The calculation puts the uncorrected formation energy at 0.363 eV/atom.

VASP calculation (PBE) on Co2Cu2Pt after structural relaxation. Values from VASP.

Quantum ESPRESSO input file:
```
&SYSTEM
  ibrav = 0, nat = 10, ntyp = 3
/
ATOMIC_SPECIES
Co 58.93 Co.upf
Cu 63.55 Cu.upf
Pt 195.08 Pt.upf
ATOMIC_POSITIONS angstrom
Co -1.2283 -4.6770 0.9727
Co -4.6531 -5.5714 1.5084
Co -5.4514 -2.1385 2.1358
Co -2.0267 -1.2442 1.6002
Cu -2.9334 -5.8022 -0.2363
Cu -6.1622 -3.9580 0.6397
Cu -4.2499 -0.6521 0.7279
Cu -1.0212 -2.4964 -0.1480
Pt 0.0000 0.0000 0.0000
Pt -3.5917 -3.2272 0.2458
CELL_PARAMETERS angstrom
-6.6990 0.3139 1.3326
-0.4844 -6.7682 -0.8409
0.5036 -0.3612 2.6169
```

Properties
Its formation energy is 0.237 eV/atom. For the energy above the most stable polymorph in this dataset, the calculation gives 6 meV/atom.

VASP calculation (PBE) on TcNiP2Se after structural relaxation. Values from VASP.

Quantum ESPRESSO input file:
```
&SYSTEM
  ibrav = 0, nat = 10, ntyp = 4
/
ATOMIC_SPECIES
Tc 98.00 Tc.upf
Ni 58.69 Ni.upf
P 30.97 P.upf
Se 78.96 Se.upf
ATOMIC_POSITIONS angstrom
Tc 0.7250 0.0000 0.7601
Tc -0.0282 1.6997 3.9719
Ni 4.3011 0.0000 6.0678
Ni 5.0542 1.6997 2.8560
P 6.5102 0.0000 2.5286
P 5.7571 1.6997 5.7404
P 1.4294 0.0000 3.0971
P 0.6762 1.6997 6.3089
Se 3.6793 0.0000 3.8050
Se 4.4324 1.6997 0.5932
CELL_PARAMETERS angstrom
7.4984 0.0000 0.0295
0.0000 3.3995 0.0000
-1.5062 0.0000 6.4236
```

Properties
The calculation puts the uncorrected formation energy at -0.282 eV/atom. For the energy above the most stable polymorph in this dataset, the calculation gives 8 meV/atom.

no.,raw total energy (Ry/atom),total magnetic moment (μB/atom)
1,-0.3488,0.0000
2,-0.4007,0.7453
3,-0.4684,0.0000